No. 1
Compound: Na3HgAu
Source: the Alexandria database
Functional: PBE-GGA
Structure: relaxed Values from VASP.

```
&SYSTEM
  ibrav = 0, nat = 10, ntyp = 3
/
ATOMIC_SPECIES
Na 22.99 Na.upf
Hg 200.59 Hg.upf
Au 196.97 Au.upf
ATOMIC_POSITIONS angstrom
Na -0.917 -1.274 -4.250
Na -10.103 -2.195 -5.775
Hg -3.444 -2.464 -6.283
Na -4.612 -0.190 -4.093
Na -6.450 -3.191 -5.373
Na -3.807 -1.357 -0.648
Na -7.463 -0.361 -1.046
Au -5.880 -2.368 -2.495
Au -8.033 -1.184 -3.925
Hg -2.083 0.999 -2.059
CELL_PARAMETERS angstrom
-1.139 3.777 -0.857
-0.697 -3.924 -7.154
-8.384 -2.086 1.921
```

Properties
Total energy   -8.6 eV/f.u.
Excess energy over the best structure of this formula in the dataset   0.07 eV per formula unit
E_form   -0.21 eV/atom

=====

No. 2
Compound: Na7HgAu2
Source: the Alexandria database
Functional: PBE-GGA
Structure: relaxed Values from VASP.

```
&SYSTEM
  ibrav = 0, nat = 10, ntyp = 3
/
ATOMIC_SPECIES
Au 196.97 Au.upf
Na 22.99 Na.upf
Hg 200.59 Hg.upf
ATOMIC_POSITIONS angstrom
Au -4.820 -1.938 1.450
Na -3.324 0.271 0.199
Na -7.940 -6.546 4.060
Na -4.336 -4.610 -0.132
Na -4.662 -6.884 3.899
Na -7.588 -9.411 2.587
Na -1.809 -2.671 1.513
Na -6.303 -4.128 2.690
Au -5.986 -7.047 1.248
Hg -0.061 -0.090 0.051
CELL_PARAMETERS angstrom
-3.562 3.305 1.576
-0.458 -2.269 -4.554
-6.427 -9.490 5.375
```

Properties
Total energy   -18.0 eV/f.u.
E_form   -0.19 eV/atom

=====

> Among the records above, which one has the lowest E_form?

Na3HgAu